[1]
Crystalline LiSb2Te at its relaxed geometry, computed with PBE-GGA.

a = 7.8406 Å, b = 4.2647 Å, c = 6.6582 Å
α = 90.00°, β = 95.27°, γ = 90.00°
Closest atoms and distances in Å follow each position.
Space group Cm (No. 8)
One atom of each set of equivalent atoms:
Li  0.0000  0.0000  0.0000 x2  3 Te 2.68-2.75, 1 Sb 2.98
Sb  0.0335  0.0000  0.5071 x2  3 Sb 2.98-3.05, 2 Te 3.24, 1 Li 3.32
Sb  0.3313  0.0000  0.2596 x2  3 Sb 2.98-3.05, 3 Li 2.98-3.12
Te  0.1705  0.5000  0.8503 x2  3 Li 2.68-2.75

Formation energy (no corrections) (eV per formula unit): -1.0
ρ (Mg/m³): 5.66
Total magnetization (Bohr magnetons per cell): 0.00

=====

[2]
Crystalline Pm5Pr6Mg2 at its relaxed geometry, computed with PBE-GGA.

a = 10.7237 Å, b = 23.2747 Å, c = 3.5933 Å
α = 90.00°, β = 90.00°, γ = 90.00°
Closest atoms and distances in Å follow each position.
Space group Pbam (No. 55)
One atom of each set of equivalent atoms:
Pm  0.0000  0.0000  0.0000 x2  4 Pm 3.57-3.59, 6 Pr 3.61-3.63
Pm  0.0828  0.2512  0.0000 x4  4 Mg 3.24, 2 Pm 3.59
Pm  0.1673  0.5053  0.0000 x4  4 Pm 3.57-3.60, 7 Pr 3.67-3.74
Pr  0.0170  0.3868  0.5000 x4  1 Mg 3.52, 4 Pr 3.59-3.86, 6 Pm 3.67-3.70
Pr  0.1475  0.1175  0.5000 x4  1 Mg 3.45, 4 Pr 3.59-3.85, 6 Pm 3.63-3.74
Pr  0.1677  0.8656  0.0000 x4  2 Mg 3.46, 6 Pr 3.59-3.86, 4 Pm 3.61-3.82
Mg  0.1672  0.7386  0.5000 x4  4 Pm 3.24, 4 Pr 3.45-3.52, 2 Mg 3.59

E_tot (eV per atom): -4.167
ρ (Mg/m³): 6.00
Total magnetization (Bohr magnetons per cell): 0.00

=====

[3]
Crystalline Pr3Y2ThS6 at its relaxed geometry, computed with PBE-GGA.

a = 17.5892 Å, b = 4.0220 Å, c = 8.1034 Å
α = 90.00°, β = 103.56°, γ = 90.00°
Closest atoms and distances in Å follow each position.
Space group C2/m (No. 12)
One atom of each set of equivalent atoms:
Pr  0.0000  0.0000  0.0000 x2  6 S 2.87-2.93
Pr  0.1640  0.5000  0.3335 x4  6 S 2.89-2.94
Y  0.1662  0.5000  0.8313 x4  6 S 2.75-2.80
Th  0.0000  0.0000  0.5000 x2  6 S 2.84-2.86
S  0.0052  0.5000  0.7506 x4  1 Y 2.75, 2 Th 2.84, 3 Pr 2.87-2.89
S  0.1672  0.0000  0.5957 x4  2 Y 2.78, 1 Th 2.86, 3 Pr 2.89-2.92
S  0.1712  0.0000  0.0735 x4  3 Y 2.78-2.80, 3 Pr 2.93-2.94

Formation energy (no corrections) (eV per formula unit): -23.7
ρ (Mg/m³): 6.11
Total magnetization (Bohr magnetons per cell): 0.00

=====

- Which formula does entry 1 have?
  LiSb2Te

=====

- Look up the total magnetization of the second one.
  0.00 Bohr magnetons per cell

=====

Repeat the third record exactly.
Crystalline Pr3Y2ThS6 at its relaxed geometry, computed with PBE-GGA.

a = 17.5892 Å, b = 4.0220 Å, c = 8.1034 Å
α = 90.00°, β = 103.56°, γ = 90.00°
Closest atoms and distances in Å follow each position.
Space group C2/m (No. 12)
One atom of each set of equivalent atoms:
Pr  0.0000  0.0000  0.0000 x2  6 S 2.87-2.93
Pr  0.1640  0.5000  0.3335 x4  6 S 2.89-2.94
Y  0.1662  0.5000  0.8313 x4  6 S 2.75-2.80
Th  0.0000  0.0000  0.5000 x2  6 S 2.84-2.86
S  0.0052  0.5000  0.7506 x4  1 Y 2.75, 2 Th 2.84, 3 Pr 2.87-2.89
S  0.1672  0.0000  0.5957 x4  2 Y 2.78, 1 Th 2.86, 3 Pr 2.89-2.92
S  0.1712  0.0000  0.0735 x4  3 Y 2.78-2.80, 3 Pr 2.93-2.94

Formation energy (no corrections) (eV per formula unit): -23.7
ρ (Mg/m³): 6.11
Total magnetization (Bohr magnetons per cell): 0.00